w) Material: TcHg2
Method: DFT, PBE-GGA
State: relaxed

Cell lengths 13.9092, 13.9092, 13.9092 Å; angles 167.91, 167.91, 17.13 degrees
Positions (direct):
Tc1 0.3750 0.6250 0.7500
Tc2 0.6250 0.3750 0.2500
Hg1 0.0488 0.7988 0.2500
Hg2 0.2012 0.9512 0.2500
Hg3 0.7988 0.0488 0.7500
Hg4 0.9512 0.2012 0.7500

- Fermi-level density of states: 6.3 states/eV/cell
- Symmetry: I4_1/amd, No. 141

x) Material: TcHg2
Method: DFT, PBE-GGA
State: relaxed

Cell lengths 5.9264, 5.9264, 8.0068 Å; angles 116.39, 116.39, 29.39 degrees
Positions (direct):
Tc1 0.1896 0.1896 0.0488
Tc2 0.8104 0.8104 0.9512
Hg1 0.1558 0.1558 0.6085
Hg2 0.4647 0.4647 0.7750
Hg3 0.5353 0.5353 0.2250
Hg4 0.8442 0.8442 0.3915

- Fermi-level density of states: 4.7 states/eV/cell
- Symmetry: C2/m, No. 12

y) Material: TcHg2
Method: DFT, PBE-GGA
State: relaxed

Cell lengths 13.2842, 13.2842, 13.2842 Å; angles 161.61, 161.61, 26.12 degrees
Positions (direct):
Tc1 0.2805 0.5305 0.7500
Tc2 0.4695 0.7195 0.7500
Tc3 0.5305 0.2805 0.2500
Tc4 0.7195 0.4695 0.2500
Hg1 0.0423 0.7923 0.2500
Hg2 0.1228 0.3728 0.7500
Hg3 0.2077 0.9577 0.2500
Hg4 0.3728 0.1228 0.2500
Hg5 0.6272 0.8772 0.7500
Hg6 0.7923 0.0423 0.7500
Hg7 0.8772 0.6272 0.2500
Hg8 0.9577 0.2077 0.7500

- Fermi-level density of states: 7.3 states/eV/cell
- Symmetry: I4_1/amd, No. 141

z) Material: TcHg2
Method: DFT, PBE-GGA
State: relaxed

Cell lengths 4.8279, 4.8279, 5.8617 Å; angles 90.00, 90.00, 120.00 degrees
Positions (direct):
Tc1 0.3333 0.6667 0.2500
Tc2 0.6667 0.3333 0.7500
Hg1 0.0000 0.0000 0.0000
Hg2 0.0000 0.0000 0.5000
Hg3 0.3333 0.6667 0.7500
Hg4 0.6667 0.3333 0.2500

- Fermi-level density of states: 5.5 states/eV/cell
- Symmetry: P6_3/mmc, No. 194

Least stable: z)

w) Material: TcHg2
Method: DFT, PBE-GGA
State: relaxed

Cell lengths 7.4740, 7.4879, 2.6853 Å; angles 90.00, 90.00, 90.00 degrees
Positions (direct):
Tc1 0.0000 0.0000 0.0000
Tc2 0.5000 0.5000 0.5000
Hg1 0.2368 0.2370 0.5000
Hg2 0.2632 0.7370 0.0000
Hg3 0.7368 0.2630 0.0000
Hg4 0.7632 0.7630 0.5000

- Fermi-level density of states: 3.3 states/eV/cell
- Symmetry: Pnnm, No. 58

x) Material: TcHg2
Method: DFT, PBE-GGA
State: relaxed

Cell lengths 5.5828, 5.5828, 5.5828 Å; angles 101.65, 101.65, 126.60 degrees
Positions (direct):
Tc1 0.2500 0.2500 0.0000
Tc2 0.7500 0.7500 0.0000
Hg1 0.1686 0.6686 0.8372
Hg2 0.3314 0.1686 0.5000
Hg3 0.6686 0.8314 0.5000
Hg4 0.8314 0.3314 0.1628

- Fermi-level density of states: 5.6 states/eV/cell
- Symmetry: I4/mcm, No. 140

Least stable: w)

w) Material: Tc3Hg2
Method: DFT, PBE-GGA
State: relaxed

Cell lengths 2.8806, 2.8806, 11.7975 Å; angles 90.00, 90.00, 120.00 degrees
Positions (direct):
Tc1 0.0000 0.0000 0.0000
Tc2 0.3333 0.6667 0.4163
Tc3 0.6667 0.3333 0.5837
Hg1 0.3333 0.6667 0.7953
Hg2 0.6667 0.3333 0.2047

- Fermi-level density of states: 3.8 states/eV/cell
- Symmetry: P-3m1, No. 164

x) Material: Tc3Hg2
Method: DFT, PBE-GGA
State: relaxed

Cell lengths 7.6098, 5.4458, 8.5418 Å; angles 61.28, 38.87, 79.85 degrees
Positions (direct):
Tc1 0.0000 0.0000 0.0000
Tc2 0.2500 0.2500 0.2500
Tc3 0.2598 0.3848 0.5300
Tc4 0.3848 0.2598 0.8254
Tc5 0.4246 0.7200 0.8652
Tc6 0.7200 0.4246 0.9902
Hg1 0.3517 0.8321 0.5520
Hg2 0.6980 0.9859 0.8983
Hg3 0.8321 0.3517 0.2641
Hg4 0.9859 0.6980 0.4179

- Fermi-level density of states: 11.2 states/eV/cell
- Symmetry: Fdd2, No. 43

y) Material: Tc3Hg2
Method: DFT, PBE-GGA
State: relaxed

Cell lengths 11.9772, 11.9772, 11.9772 Å; angles 13.79, 13.79, 13.79 degrees
Positions (direct):
Tc1 0.0000 0.0000 0.0000
Tc2 0.1945 0.1945 0.1945
Tc3 0.8055 0.8055 0.8055
Hg1 0.4013 0.4013 0.4013
Hg2 0.5987 0.5987 0.5987

- Fermi-level density of states: 3.4 states/eV/cell
- Symmetry: R-3m, No. 166

Least stable: x)

w) Material: Tc5Hg4
Method: DFT, PBE-GGA
State: relaxed

Cell lengths 6.5229, 6.5229, 6.5229 Å; angles 95.83, 95.83, 142.84 degrees
Positions (direct):
Tc1 0.0000 0.0000 0.0000
Tc2 0.3555 0.3555 0.7110
Tc3 0.3555 0.6445 0.0000
Tc4 0.6445 0.3555 0.0000
Tc5 0.6445 0.6445 0.2890
Hg1 0.0000 0.3213 0.3213
Hg2 0.0000 0.6787 0.6787
Hg3 0.3213 0.0000 0.3213
Hg4 0.6787 0.0000 0.6787

- Fermi-level density of states: 9.1 states/eV/cell
- Symmetry: I4/mmm, No. 139

x) Material: Tc5Hg4
Method: DFT, PBE-GGA
State: relaxed

Cell lengths 8.1380, 8.1380, 5.5286 Å; angles 90.00, 90.00, 120.00 degrees
Positions (direct):
Tc1 0.0000 0.3182 0.2500
Tc2 0.0000 0.6818 0.7500
Tc3 0.3182 0.0000 0.2500
Tc4 0.3182 0.3182 0.7500
Tc5 0.3333 0.6667 0.0000
Tc6 0.3333 0.6667 0.5000
Tc7 0.6667 0.3333 0.0000
Tc8 0.6667 0.3333 0.5000
Tc9 0.6818 0.0000 0.7500
Tc10 0.6818 0.6818 0.2500
Hg1 0.0000 0.0000 0.0000
Hg2 0.0000 0.0000 0.5000
Hg3 0.0000 0.3561 0.7500
Hg4 0.0000 0.6439 0.2500
Hg5 0.3561 0.0000 0.7500
Hg6 0.3561 0.3561 0.2500
Hg7 0.6439 0.0000 0.2500
Hg8 0.6439 0.6439 0.7500

- Fermi-level density of states: 23.5 states/eV/cell
- Symmetry: P6_3/mcm, No. 193

Least stable: x)

w) Material: Tc3Hg5
Method: DFT, PBE-GGA
State: relaxed

Cell lengths 8.1616, 8.1616, 5.3418 Å; angles 90.00, 90.00, 120.00 degrees
Positions (direct):
Tc1 0.0000 0.4137 0.2500
Tc2 0.0000 0.5863 0.7500
Tc3 0.4137 0.0000 0.2500
Tc4 0.4137 0.4137 0.7500
Tc5 0.5863 0.0000 0.7500
Tc6 0.5863 0.5863 0.2500
Hg1 0.0000 0.2293 0.7500
Hg2 0.0000 0.7707 0.2500
Hg3 0.2293 0.0000 0.7500
Hg4 0.2293 0.2293 0.2500
Hg5 0.3333 0.6667 0.0000
Hg6 0.3333 0.6667 0.5000
Hg7 0.6667 0.3333 0.0000
Hg8 0.6667 0.3333 0.5000
Hg9 0.7707 0.0000 0.2500
Hg10 0.7707 0.7707 0.7500

- Fermi-level density of states: 14.3 states/eV/cell
- Symmetry: P6_3/mcm, No. 193

x) Material: Tc3Hg5
Method: DFT, PBE-GGA
State: relaxed

Cell lengths 5.9741, 5.9741, 4.2863 Å; angles 90.00, 90.00, 98.22 degrees
Positions (direct):
Tc1 0.0000 0.0000 0.0000
Tc2 0.1970 0.1970 0.5000
Tc3 0.8030 0.8030 0.5000
Hg1 0.0000 0.5000 0.0000
Hg2 0.2709 0.7291 0.5000
Hg3 0.5000 0.0000 0.0000
Hg4 0.5000 0.5000 0.0000
Hg5 0.7291 0.2709 0.5000

- Fermi-level density of states: 8.6 states/eV/cell
- Symmetry: Cmmm, No. 65

Least stable: w)

w) Material: Tc4Hg
Method: DFT, PBE-GGA
State: relaxed

Cell lengths 6.1393, 6.1393, 6.1393 Å; angles 141.45, 141.45, 55.65 degrees
Positions (direct):
Tc1 0.1135 0.1135 0.0000
Tc2 0.2500 0.7500 0.5000
Tc3 0.7500 0.2500 0.5000
Tc4 0.8865 0.8865 0.0000
Hg1 0.5000 0.5000 0.0000

- Fermi-level density of states: 4.3 states/eV/cell
- Symmetry: I4/mmm, No. 139

x) Material: Tc4Hg
Method: DFT, PBE-GGA
State: relaxed

Cell lengths 4.8398, 4.8398, 4.8398 Å; angles 99.87, 99.87, 131.10 degrees
Positions (direct):
Tc1 0.0818 0.3053 0.3871
Tc2 0.3053 0.9182 0.2235
Tc3 0.6947 0.0818 0.7765
Tc4 0.9182 0.6947 0.6129
Hg1 0.5000 0.5000 0.0000

- Fermi-level density of states: 4.6 states/eV/cell
- Symmetry: I4/m, No. 87

y) Material: Tc4Hg
Method: DFT, PBE-GGA
State: relaxed

Cell lengths 4.9245, 4.9245, 4.9245 Å; angles 90.00, 90.00, 90.00 degrees
Positions (direct):
Tc1 0.0000 0.0000 0.0000
Tc2 0.0000 0.5000 0.5000
Tc3 0.5000 0.0000 0.5000
Tc4 0.5000 0.5000 0.0000
Hg1 0.5000 0.5000 0.5000

- Fermi-level density of states: 8.0 states/eV/cell
- Symmetry: Pm-3m, No. 221

Least stable: y)

w) Material: TcHg5
Method: DFT, PBE-GGA
State: relaxed

Cell lengths 3.0462, 3.0462, 16.9259 Å; angles 90.00, 90.00, 120.00 degrees
Positions (direct):
Tc1 0.0000 0.0000 0.0000
Hg1 0.0000 0.0000 0.3118
Hg2 0.0000 0.0000 0.6882
Hg3 0.3333 0.6667 0.1365
Hg4 0.3333 0.6667 0.5000
Hg5 0.3333 0.6667 0.8635

- Fermi-level density of states: 3.4 states/eV/cell
- Symmetry: P-6m2, No. 187

x) Material: TcHg5
Method: DFT, PBE-GGA
State: relaxed

Cell lengths 4.7689, 8.7556, 8.7556 Å; angles 21.19, 90.00, 90.00 degrees
Positions (direct):
Tc1 0.0000 0.0000 0.0000
Hg1 0.0000 0.3516 0.3516
Hg2 0.0000 0.6494 0.6494
Hg3 0.5000 0.2276 0.2276
Hg4 0.5000 0.5450 0.5450
Hg5 0.5000 0.8972 0.8972

- Fermi-level density of states: 4.5 states/eV/cell
- Symmetry: Amm2, No. 38

y) Material: TcHg5
Method: DFT, PBE-GGA
State: relaxed

Cell lengths 5.8922, 5.8922, 5.8922 Å; angles 60.00, 60.00, 60.00 degrees
Positions (direct):
Tc1 0.0000 0.0000 0.0000
Hg1 0.3745 0.3745 0.3745
Hg2 0.3745 0.3745 0.8765
Hg3 0.3745 0.8765 0.3745
Hg4 0.7500 0.7500 0.7500
Hg5 0.8765 0.3745 0.3745

- Fermi-level density of states: 3.1 states/eV/cell
- Symmetry: F-43m, No. 216

Least stable: y)

w) Material: TcHg5
Method: DFT, PBE-GGA
State: relaxed

Cell lengths 5.6665, 5.6665, 8.4066 Å; angles 98.66, 98.66, 30.61 degrees
Positions (direct):
Tc1 0.0000 0.0000 0.0000
Hg1 0.2202 0.2202 0.5692
Hg2 0.2679 0.2679 0.9522
Hg3 0.4995 0.4995 0.7110
Hg4 0.6564 0.6564 0.2321
Hg5 0.9274 0.9274 0.3403

- Fermi-level density of states: 4.9 states/eV/cell
- Symmetry: Cm, No. 8

x) Material: TcHg5
Method: DFT, PBE-GGA
State: relaxed

Cell lengths 5.7312, 5.7312, 4.6585 Å; angles 90.00, 90.00, 120.00 degrees
Positions (direct):
Tc1 0.0000 0.0000 0.0000
Hg1 0.0000 0.6880 0.5000
Hg2 0.3120 0.3120 0.5000
Hg3 0.3333 0.6667 0.0000
Hg4 0.6667 0.3333 0.0000
Hg5 0.6880 0.0000 0.5000

- Fermi-level density of states: 4.5 states/eV/cell
- Symmetry: P-62m, No. 189

y) Material: TcHg5
Method: DFT, PBE-GGA
State: relaxed

Cell lengths 7.2524, 7.2524, 7.6282 Å; angles 115.81, 115.81, 23.21 degrees
Positions (direct):
Tc1 0.0000 0.0000 0.0000
Hg1 0.0992 0.0992 0.4262
Hg2 0.3204 0.3204 0.7057
Hg3 0.3777 0.3777 0.1541
Hg4 0.5442 0.5442 0.7183
Hg5 0.6975 0.6975 0.1661

- Fermi-level density of states: 3.0 states/eV/cell
- Symmetry: Cm, No. 8

Least stable: x)

w) Material: TcHg5
Method: DFT, PBE-GGA
State: relaxed

Cell lengths 5.7583, 5.7583, 5.7583 Å; angles 58.35, 58.35, 58.35 degrees
Positions (direct):
Tc1 0.0000 0.0000 0.0000
Hg1 0.1019 0.8981 0.5000
Hg2 0.3542 0.3542 0.3542
Hg3 0.5000 0.1019 0.8981
Hg4 0.6458 0.6458 0.6458
Hg5 0.8981 0.5000 0.1019

- Fermi-level density of states: 5.0 states/eV/cell
- Symmetry: R32, No. 155

x) Material: TcHg5
Method: DFT, PBE-GGA
State: relaxed

Cell lengths 5.5958, 5.5958, 5.7240 Å; angles 90.00, 90.00, 120.00 degrees
Positions (direct):
Tc1 0.0000 0.0000 0.0000
Hg1 0.0000 0.5000 0.5000
Hg2 0.3333 0.6667 0.0000
Hg3 0.5000 0.0000 0.5000
Hg4 0.5000 0.5000 0.5000
Hg5 0.6667 0.3333 0.0000

- Fermi-level density of states: 3.5 states/eV/cell
- Symmetry: P6/mmm, No. 191

Least stable: x)